Record 1
Material: Ac2Al2Ag
Method: DFT, PBE-GGA
State: relaxed

Structure (CIF):
```
data_Ac2Al2Ag
_space_group_name_H-M_alt 'P 1'
_space_group_IT_number 1
_cell_length_a 6.1889
_cell_length_b 6.1889
_cell_length_c 11.5753
_cell_angle_alpha 115.69
_cell_angle_beta 115.69
_cell_angle_gamma 46.90
loop_
_space_group_symop_operation_xyz
'x,y,z'
loop_
_atom_site_label
_atom_site_fract_x
_atom_site_fract_y
_atom_site_fract_z
_atom_site_occupancy
Ac1 0.0856 0.0856 0.3933 1
Ac2 0.3127 0.3127 0.8265 1
Ac3 0.6873 0.6873 0.1735 1
Ac4 0.9144 0.9144 0.6067 1
Al1 0.0812 0.0812 0.9439 1
Al2 0.3810 0.3810 0.3887 1
Al3 0.6190 0.6190 0.6113 1
Al4 0.9188 0.9188 0.0561 1
Ag1 0.3759 0.3759 0.1458 1
Ag2 0.6241 0.6241 0.8542 1
```

Values from the calculation:
Formation energy   -0.31 eV/atom
Relative energy among the computed polymorphs   0.00 eV/f.u.
Density   7.17 g cm⁻³
Crystal system   monoclinic


Record 2
Material: Ac3Al9Ag2
Method: DFT, PBE-GGA
State: relaxed

Structure (CIF):
```
data_Ac3Al9Ag2
_space_group_name_H-M_alt 'P 1'
_space_group_IT_number 1
_cell_length_a 8.7508
_cell_length_b 8.7508
_cell_length_c 8.7508
_cell_angle_alpha 149.53
_cell_angle_beta 107.52
_cell_angle_gamma 80.62
loop_
_space_group_symop_operation_xyz
'x,y,z'
loop_
_atom_site_label
_atom_site_fract_x
_atom_site_fract_y
_atom_site_fract_z
_atom_site_occupancy
Ac1 0.0000 0.0000 0.0000 1
Ac2 0.3135 0.3135 0.0000 1
Ac3 0.6865 0.6865 0.0000 1
Al1 0.0327 0.6668 0.3658 1
Al2 0.1419 0.8675 0.2744 1
Al3 0.3010 0.6668 0.6342 1
Al4 0.4069 0.1325 0.2744 1
Al5 0.5000 0.0000 0.5000 1
Al6 0.5931 0.8675 0.7256 1
Al7 0.6990 0.3332 0.3658 1
Al8 0.8581 0.1325 0.7256 1
Al9 0.9673 0.3332 0.6342 1
Ag1 0.2778 0.5000 0.7778 1
Ag2 0.7222 0.5000 0.2222 1
```

Values from the calculation:
Formation energy   -0.32 eV/atom
Density   5.96 g cm⁻³
Crystal system   orthorhombic


Record 3
Material: AcAl3Ag5
Method: DFT, PBE-GGA
State: relaxed

Structure (CIF):
```
data_AcAl3Ag5
_space_group_name_H-M_alt 'P 1'
_space_group_IT_number 1
_cell_length_a 7.1463
_cell_length_b 7.1463
_cell_length_c 13.2632
_cell_angle_alpha 90.00
_cell_angle_beta 90.00
_cell_angle_gamma 145.90
loop_
_space_group_symop_operation_xyz
'x,y,z'
loop_
_atom_site_label
_atom_site_fract_x
_atom_site_fract_y
_atom_site_fract_z
_atom_site_occupancy
Ac1 0.1677 0.8323 0.7500 1
Ac2 0.8323 0.1677 0.2500 1
Al1 0.1153 0.8847 0.2500 1
Al2 0.3808 0.6192 0.0414 1
Al3 0.3808 0.6192 0.4586 1
Al4 0.6192 0.3808 0.5414 1
Al5 0.6192 0.3808 0.9586 1
Al6 0.8847 0.1153 0.7500 1
Ag1 0.0000 0.0000 0.0000 1
Ag2 0.0000 0.0000 0.5000 1
Ag3 0.1970 0.8030 0.0701 1
Ag4 0.1970 0.8030 0.4299 1
Ag5 0.4554 0.5446 0.6472 1
Ag6 0.4554 0.5446 0.8528 1
Ag7 0.5446 0.4554 0.1472 1
Ag8 0.5446 0.4554 0.3528 1
Ag9 0.8030 0.1970 0.5701 1
Ag10 0.8030 0.1970 0.9299 1
```

Values from the calculation:
Formation energy   -0.17 eV/atom
Density   7.41 g cm⁻³
Crystal system   orthorhombic


Record 4
Material: Ac4AlAg2
Method: DFT, PBE-GGA
State: relaxed

Structure (CIF):
```
data_Ac4AlAg2
_space_group_name_H-M_alt 'P 1'
_space_group_IT_number 1
_cell_length_a 9.5658
_cell_length_b 9.5658
_cell_length_c 9.5658
_cell_angle_alpha 33.97
_cell_angle_beta 33.97
_cell_angle_gamma 33.97
loop_
_space_group_symop_operation_xyz
'x,y,z'
loop_
_atom_site_label
_atom_site_fract_x
_atom_site_fract_y
_atom_site_fract_z
_atom_site_occupancy
Ac1 0.1231 0.1231 0.1231 1
Ac2 0.3750 0.3750 0.3750 1
Ac3 0.6250 0.6250 0.6250 1
Ac4 0.8769 0.8769 0.8769 1
Al1 0.5000 0.5000 0.5000 1
Ag1 0.2491 0.2491 0.2491 1
Ag2 0.7509 0.7509 0.7509 1
```

Values from the calculation:
Formation energy   -0.13 eV/atom
Density   7.84 g cm⁻³
Crystal system   trigonal


Record 5
Material: AcAl2Ag
Method: DFT, PBE-GGA
State: relaxed

Structure (CIF):
```
data_AcAl2Ag
_space_group_name_H-M_alt 'P 1'
_space_group_IT_number 1
_cell_length_a 3.5343
_cell_length_b 3.5343
_cell_length_c 7.4992
_cell_angle_alpha 90.00
_cell_angle_beta 90.00
_cell_angle_gamma 90.00
loop_
_space_group_symop_operation_xyz
'x,y,z'
loop_
_atom_site_label
_atom_site_fract_x
_atom_site_fract_y
_atom_site_fract_z
_atom_site_occupancy
Ac1 0.0000 0.0000 0.0000 1
Al1 0.5000 0.5000 0.3137 1
Al2 0.5000 0.5000 0.6863 1
Ag1 0.0000 0.0000 0.5000 1
```

Values from the calculation:
Formation energy   -0.09 eV/atom
Density   6.89 g cm⁻³
Crystal system   tetragonal


Record 6
Material: Ac3AlAg2
Method: DFT, PBE-GGA
State: relaxed

Structure (CIF):
```
data_Ac3AlAg2
_space_group_name_H-M_alt 'P 1'
_space_group_IT_number 1
_cell_length_a 5.6132
_cell_length_b 5.6132
_cell_length_c 13.7650
_cell_angle_alpha 90.00
_cell_angle_beta 90.00
_cell_angle_gamma 120.00
loop_
_space_group_symop_operation_xyz
'x,y,z'
loop_
_atom_site_label
_atom_site_fract_x
_atom_site_fract_y
_atom_site_fract_z
_atom_site_occupancy
Ac1 0.0000 0.0000 0.2493 1
Ac2 0.0000 0.0000 0.7507 1
Ac3 0.3333 0.6667 0.4179 1
Ac4 0.3333 0.6667 0.9174 1
Ac5 0.6667 0.3333 0.0826 1
Ac6 0.6667 0.3333 0.5821 1
Al1 0.3333 0.6667 0.6676 1
Al2 0.6667 0.3333 0.3324 1
Ag1 0.0000 0.0000 0.0000 1
Ag2 0.0000 0.0000 0.5000 1
Ag3 0.3333 0.6667 0.1695 1
Ag4 0.6667 0.3333 0.8305 1
```

Values from the calculation:
Formation energy   -0.24 eV/atom
Relative energy among the computed polymorphs   0.06 eV/f.u.
Density   8.17 g cm⁻³
Crystal system   trigonal


Record 7
Material: AcAl4Ag4
Method: DFT, PBE-GGA
State: relaxed

Structure (CIF):
```
data_AcAl4Ag4
_space_group_name_H-M_alt 'P 1'
_space_group_IT_number 1
_cell_length_a 6.7431
_cell_length_b 6.7431
_cell_length_c 6.7431
_cell_angle_alpha 97.16
_cell_angle_beta 97.16
_cell_angle_gamma 138.65
loop_
_space_group_symop_operation_xyz
'x,y,z'
loop_
_atom_site_label
_atom_site_fract_x
_atom_site_fract_y
_atom_site_fract_z
_atom_site_occupancy
Ac1 0.0000 0.0000 0.0000 1
Al1 0.1002 0.6118 0.7120 1
Al2 0.3882 0.1002 0.4884 1
Al3 0.6118 0.8998 0.5116 1
Al4 0.8998 0.3882 0.2880 1
Ag1 0.2261 0.3432 0.5693 1
Ag2 0.3432 0.7739 0.1171 1
Ag3 0.6568 0.2261 0.8829 1
Ag4 0.7739 0.6568 0.4307 1
```

Values from the calculation:
Formation energy   -0.17 eV/atom
Density   6.72 g cm⁻³
Crystal system   tetragonal


Record 8
Material: Ac2Al5Ag3
Method: DFT, PBE-GGA
State: relaxed

Structure (CIF):
```
data_Ac2Al5Ag3
_space_group_name_H-M_alt 'P 1'
_space_group_IT_number 1
_cell_length_a 9.0366
_cell_length_b 9.0366
_cell_length_c 9.0366
_cell_angle_alpha 104.75
_cell_angle_beta 89.81
_cell_angle_gamma 138.48
loop_
_space_group_symop_operation_xyz
'x,y,z'
loop_
_atom_site_label
_atom_site_fract_x
_atom_site_fract_y
_atom_site_fract_z
_atom_site_occupancy
Ac1 0.1277 0.2453 0.3729 1
Ac2 0.3723 0.7453 0.1176 1
Ac3 0.6277 0.2547 0.8824 1
Ac4 0.8723 0.7547 0.6271 1
Al1 0.0048 0.7500 0.2548 1
Al2 0.1208 0.6359 0.7567 1
Al3 0.2500 0.2500 0.0000 1
Al4 0.3792 0.1359 0.5151 1
Al5 0.4952 0.7500 0.7452 1
Al6 0.5048 0.2500 0.2548 1
Al7 0.6208 0.8641 0.4849 1
Al8 0.7500 0.7500 0.0000 1
Al9 0.8792 0.3641 0.2433 1
Al10 0.9952 0.2500 0.7452 1
Ag1 0.1265 0.8754 0.0019 1
Ag2 0.2500 0.7500 0.5000 1
Ag3 0.3735 0.3754 0.7488 1
Ag4 0.6265 0.6246 0.2512 1
Ag5 0.7500 0.2500 0.5000 1
Ag6 0.8735 0.1246 0.9981 1
```

Values from the calculation:
Formation energy   -0.37 eV/atom
Relative energy among the computed polymorphs   0.00 eV/f.u.
Density   6.70 g cm⁻³
Crystal system   orthorhombic


Record 9
Material: AcAl3Ag4
Method: DFT, PBE-GGA
State: relaxed

Structure (CIF):
```
data_AcAl3Ag4
_space_group_name_H-M_alt 'P 1'
_space_group_IT_number 1
_cell_length_a 4.5037
_cell_length_b 4.5037
_cell_length_c 8.4960
_cell_angle_alpha 90.00
_cell_angle_beta 90.00
_cell_angle_gamma 90.00
loop_
_space_group_symop_operation_xyz
'x,y,z'
loop_
_atom_site_label
_atom_site_fract_x
_atom_site_fract_y
_atom_site_fract_z
_atom_site_occupancy
Ac1 0.0000 0.0000 0.0000 1
Al1 0.0000 0.0000 0.5000 1
Al2 0.5000 0.5000 0.1561 1
Al3 0.5000 0.5000 0.8439 1
Ag1 0.0000 0.5000 0.3255 1
Ag2 0.0000 0.5000 0.6745 1
Ag3 0.5000 0.0000 0.3255 1
Ag4 0.5000 0.0000 0.6745 1
```

Values from the calculation:
Formation energy   -0.17 eV/atom
Density   7.12 g cm⁻³
Crystal system   tetragonal


Record 10
Material: Ac3Al2Ag4
Method: DFT, PBE-GGA
State: relaxed

Structure (CIF):
```
data_Ac3Al2Ag4
_space_group_name_H-M_alt 'P 1'
_space_group_IT_number 1
_cell_length_a 6.2985
_cell_length_b 6.2985
_cell_length_c 9.2185
_cell_angle_alpha 109.64
_cell_angle_beta 109.64
_cell_angle_gamma 45.11
loop_
_space_group_symop_operation_xyz
'x,y,z'
loop_
_atom_site_label
_atom_site_fract_x
_atom_site_fract_y
_atom_site_fract_z
_atom_site_occupancy
Ac1 0.0000 0.0000 0.0000 1
Ac2 0.3584 0.3584 0.3156 1
Ac3 0.6416 0.6416 0.6844 1
Al1 0.3477 0.3477 0.6797 1
Al2 0.6523 0.6523 0.3203 1
Ag1 0.0973 0.0973 0.4136 1
Ag2 0.2825 0.2825 0.9334 1
Ag3 0.7175 0.7175 0.0666 1
Ag4 0.9027 0.9027 0.5864 1
```

Values from the calculation:
Formation energy   -0.31 eV/atom
Density   8.03 g cm⁻³
Crystal system   monoclinic